A relaxed Ac8SnGe3Te4 crystal, computed with PBE-GGA.

Cell: 9.511 9.511 9.511 Å, 59.31 59.31 59.31°
Positions (direct):
1 Ac 0.235 0.746 0.746
2 Ac 0.241 0.241 0.241
3 Ac 0.254 0.254 0.765
4 Ac 0.254 0.765 0.254
5 Ac 0.746 0.235 0.746
6 Ac 0.746 0.746 0.235
7 Ac 0.759 0.759 0.759
8 Ac 0.765 0.254 0.254
9 Sn 0.500 0.500 0.500
10 Ge 0.000 0.000 0.500
11 Ge 0.000 0.500 0.000
12 Ge 0.500 0.000 0.000
13 Te 0.000 0.000 0.000
14 Te 0.000 0.500 0.500
15 Te 0.500 0.000 0.500
16 Te 0.500 0.500 0.000

Computed properties:
* density: 7385 kg/m³
* energy relative to the elements, uncorrected: -1.1827 eV/atom